The following is a SCAN calculation of KP2CO at its PBEsol-relaxed geometry, from Alexandria.

Calculated values
* total magnetization: 9.05 μB/cell
* DFT total energy: -6.3135 eV per atom
* V: 198.9 Å³/cell
* crystal system: tetragonal
* formation energy from raw total energies: 2.778 eV per atom

a = 6.537 Å, b = 6.537 Å, c = 4.655 Å
α = 90.00°, β = 90.00°, γ = 90.00°
Positions (direct):
K1 0.000 0.000 0.000
P1 0.000 0.500 0.000
P2 0.500 0.000 0.000
C1 0.500 0.500 0.500
O1 0.000 0.000 0.500